[1]
This record from Alexandria via LeMat-Bulk describes a relaxed ZrMnOs crystal. The functional is PBE-GGA.

abc: 6.977 6.977 4.499
angles: 90.00 90.00 153.04
Positions (direct):
Zr 0.088 0.912 0.750
Zr 0.912 0.088 0.250
Mn 0.237 0.763 0.250
Mn 0.763 0.237 0.750
Os 0.414 0.586 0.750
Os 0.586 0.414 0.250

DFT total energy	-9.77	eV per atom
E above lowest polymorph	233	meV/atom
total moment	6.0	Bohr magnetons per cell


[2]
This record from Alexandria via LeMat-Bulk describes a relaxed Zr2MnOs crystal. The functional is PBE-GGA.

abc: 3.263 4.434 5.270
angles: 90.00 105.56 90.00
Positions (direct):
Zr 0.000 0.000 0.000
Zr 0.267 0.500 0.588
Mn 0.568 0.500 0.139
Os 0.701 0.000 0.454

DFT total energy	-9.50	eV per atom
total moment	2.8	Bohr magnetons per cell


[3]
This record from Alexandria via LeMat-Bulk describes a relaxed Zr2MnOs crystal. The functional is PBE-GGA.

abc: 4.599 4.599 3.246
angles: 90.00 90.00 90.00
Positions (direct):
Zr 0.000 0.500 0.000
Zr 0.500 0.000 0.000
Mn 0.000 0.000 0.500
Os 0.500 0.500 0.500

DFT total energy	-9.66	eV per atom
total moment	0.5	Bohr magnetons per cell


> Look up the total moment of the third one.

0.5 Bohr magnetons per cell